A relaxed CuW2Br crystal, computed with GGA-PBE.

abc: 4.695 3.783 3.783
angles: 90.00 90.00 90.00
Element x y z (fractional)
Br  0.500  0.500  0.000
Cu  0.500  0.000  0.500
W  0.000  0.000  0.000
W  0.000  0.500  0.500

Calculated values
formation energy without anion corrections: 5.11 eV per formula unit
calculated volume: 16.8 A^3/atom
density of states at the Fermi level: 2.43 states/eV/f.u.
size of the total moment: 0.000 μB/atom